Here is a geometry-optimized MgOsSe2 structure from the Alexandria database. Energies are from PBE.

E ... -4.512 eV per atom
Magnetic moment ... 0.000 μB per formula unit
Volume ... 17.25 Å³ per atom
Crystal system ... tetragonal
Space group ... I-4m2

abc: 5.2363 5.2363 5.2363
angles: 135.73 135.73 64.39
Last column: nearest neighbours and their distance in Å.
Fractional positions:
Mg1 0.0000 0.0000 0.0000  8 Se 2.79-2.97, 4 Os 2.97
Os1 0.2500 0.7500 0.5000  8 Se 2.79-2.97, 4 Mg 2.97
Se1 0.5000 0.5000 0.0000  4 Mg 2.79, 4 Se 2.97, 4 Os 2.97
Se2 0.7500 0.2500 0.5000  4 Os 2.79, 4 Se 2.97, 4 Mg 2.97


Here is a geometry-optimized Pr8Ge3Te4Se structure from the Alexandria database. Energies are from PBE.

E ... -5.622 eV per atom
Magnetic moment ... 0.000 μB per formula unit
Volume ... 30.96 Å³ per atom
Crystal system ... trigonal
Space group ... R-3m

abc: 8.9465 8.9465 8.9465
angles: 59.05 59.05 59.05
Last column: nearest neighbours and their distance in Å.
Fractional positions:
Pr1 0.2354 0.7448 0.7448  2 Ge 3.02, 1 Se 3.08, 3 Te 3.21-3.27
Pr2 0.2421 0.2421 0.2421  3 Ge 3.04, 3 Te 3.25
Pr3 0.2552 0.2552 0.7646  2 Ge 3.02, 1 Se 3.08, 3 Te 3.21-3.27
Pr4 0.2552 0.7646 0.2552  2 Ge 3.02, 1 Se 3.08, 3 Te 3.21-3.27
Pr5 0.7448 0.2354 0.7448  2 Ge 3.02, 1 Se 3.08, 3 Te 3.21-3.27
Pr6 0.7448 0.7448 0.2354  2 Ge 3.02, 1 Se 3.08, 3 Te 3.21-3.27
Pr7 0.7579 0.7579 0.7579  3 Ge 3.04, 3 Te 3.25
Pr8 0.7646 0.2552 0.2552  2 Ge 3.02, 1 Se 3.08, 3 Te 3.21-3.27
Ge1 0.0000 0.0000 0.5000  6 Pr 3.02-3.04
Ge2 0.0000 0.5000 0.0000  6 Pr 3.02-3.04
Ge3 0.5000 0.0000 0.0000  6 Pr 3.02-3.04
Te1 0.0000 0.0000 0.0000  6 Pr 3.21
Te2 0.0000 0.5000 0.5000  6 Pr 3.25-3.27
Te3 0.5000 0.0000 0.5000  6 Pr 3.25-3.27
Te4 0.5000 0.5000 0.0000  6 Pr 3.25-3.27
Se1 0.5000 0.5000 0.5000  6 Pr 3.08


Here is a geometry-optimized Pm3Al2Cu4 structure from the Alexandria database. Energies are from PBE.

E ... -4.540 eV per atom
Magnetic moment ... 0.000 μB per formula unit
Volume ... 20.35 Å³ per atom
Crystal system ... monoclinic
Formation energy ... -0.30 eV/atom
Space group ... C2/m

abc: 5.9101 5.9101 8.3110
angles: 111.69 111.69 43.44
Last column: nearest neighbours and their distance in Å.
Fractional positions:
Pm1 0.0000 0.0000 0.0000  8 Cu 3.19-3.27, 4 Al 3.45
Pm2 0.3673 0.3673 0.3051  7 Cu 2.85-3.12, 3 Al 3.14-3.18
Pm3 0.6327 0.6327 0.6949  7 Cu 2.85-3.12, 3 Al 3.14-3.18
Al1 0.3327 0.3327 0.6628  4 Cu 2.54-2.64
Al2 0.6673 0.6673 0.3372  4 Cu 2.54-2.64
Cu1 0.0884 0.0884 0.4185  3 Al 2.54-2.64, 1 Cu 2.77
Cu2 0.2737 0.2737 0.9322  1 Al 2.57, 2 Cu 2.61, 1 Pm 2.85
Cu3 0.7263 0.7263 0.0678  1 Al 2.57, 2 Cu 2.61, 1 Pm 2.85
Cu4 0.9116 0.9116 0.5815  3 Al 2.54-2.64, 1 Cu 2.77


Here is a geometry-optimized Fe2AuBr structure from the Alexandria database. Energies are from PBE.

E ... -4.976 eV per atom
Magnetic moment ... 6.071 μB per formula unit
Volume ... 16.80 Å³ per atom
Crystal system ... trigonal
Space group ... R-3m

abc: 8.2637 8.2637 8.2637
angles: 21.63 21.63 21.63
Last column: nearest neighbours and their distance in Å.
Fractional positions:
Fe1 0.2489 0.2489 0.2489  3 Br 2.68, 3 Au 2.72
Fe2 0.7511 0.7511 0.7511  3 Br 2.68, 3 Au 2.72
Au1 0.0000 0.0000 0.0000  6 Fe 2.72
Br1 0.5000 0.5000 0.5000  6 Fe 2.68